PCCl2 | Alexandria via LeMat-Bulk | GGA-PBE | relaxed; energy above the most stable polymorph in this dataset = 0.197 eV/atom; formation energy without anion corrections = 1.65 eV/atom
1.0
1.846 0.000 7.913
-0.923 1.598 7.913
-0.923 -1.598 7.913
P C Cl
1 1 2
Direct
0.000 0.000 0.000 P
0.500 0.500 0.500 C
0.101 0.101 0.101 Cl
0.899 0.899 0.899 Cl

P2CCl | Alexandria via LeMat-Bulk | GGA-PBE | relaxed; energy above the most stable polymorph in this dataset = 1.010 eV/atom; formation energy without anion corrections = 1.92 eV/atom
1.0
1.614 -0.414 3.899
-1.007 2.801 3.020
-2.504 -1.161 3.219
P C Cl
2 1 1
Direct
0.750 0.750 0.750 P
0.250 0.250 0.250 P
0.000 0.000 0.000 C
0.500 0.500 0.500 Cl

PC2Cl2 | Alexandria via LeMat-Bulk | GGA-PBE | relaxed; energy above the most stable polymorph in this dataset = 0.000 eV/atom; formation energy without anion corrections = 1.67 eV/atom
1.0
-2.531 1.769 -4.007
-1.088 -4.737 -1.404
-4.227 -1.393 -1.138
P C Cl
1 2 2
Direct
0.000 0.000 0.000 P
0.386 0.386 0.227 C
0.614 0.614 0.773 C
0.750 0.250 0.500 Cl
0.250 0.750 0.500 Cl